Material: TaHgTePd2
Method: DFT, PBEsol
State: relaxed

Cell lengths 4.866, 4.866, 5.215 Å; angles 90.00, 90.00, 90.00 degrees
Fractional positions:
Hg (0.000, 0.000, 0.000)
Te (0.000, 0.000, 0.500)
Pd (0.000, 0.500, 0.000)
Pd (0.500, 0.000, 0.000)
Ta (0.500, 0.500, 0.500)

Summary:
Its symmetry is P4/mmm. The value obtained for the uncorrected formation energy is 1.521 eV per atom. The spin magnetization is 2.3 μB/f.u.